Entry 1:
The following is a DFT calculation (PBE) of a relaxed structure of MnGa3Cu3.

Calculated values
Its total energy is -4.395 eV per atom. Its space-group type is P6_3/m, No. 176.

Cell and atoms, written as extended XYZ:
```
14
Lattice="-4.035 -0.525 0.920 -1.197 -2.581 -6.719 1.824 -4.566 5.390" Properties=species:S:1:pos:R:3 pbc="T T T"
Mn -1.199 -3.374 -2.452
Mn -2.209 -4.298 2.044
Ga -2.900 -3.220 -0.369
Ga -3.118 -5.264 -2.489
Ga 0.222 -5.247 2.710
Ga -3.631 -2.424 -3.117
Ga -0.290 -2.408 2.082
Ga -0.508 -4.451 -0.039
Cu -1.508 -5.206 4.600
Cu -2.455 -6.119 -0.070
Cu -0.743 -6.102 -2.011
Cu -2.665 -1.569 1.603
Cu -0.953 -1.553 -0.338
Cu -1.900 -2.466 -5.008
```

***

Entry 2:
The following is a DFT calculation (PBE) of a relaxed structure of Ce3NdPb3.

Calculated values
Its total energy is -5.069 eV per atom. Its space-group type is P6_3/m, No. 176.

Cell and atoms, written as extended XYZ:
```
14
Lattice="-3.960 1.528 -3.532 -6.389 -4.652 5.151 1.852 9.065 1.845" Properties=species:S:1:pos:R:3 pbc="T T T"
Ce -4.535 3.734 4.543
Ce -2.449 -0.613 0.323
Ce -6.911 -2.216 4.633
Ce -3.962 2.206 -1.078
Ce -6.048 6.553 3.141
Ce -1.586 8.156 -1.168
Nd -4.632 0.302 3.166
Nd -3.865 5.638 0.298
Pb -5.930 3.206 1.561
Pb -5.729 -0.282 -0.173
Pb -8.177 0.274 2.813
Pb -2.567 2.734 1.903
Pb -2.768 6.223 3.638
Pb -0.320 5.666 0.652
```

***

Number 1: E_form -0.03 eV per atom, total moment 0.429 μB per atom, N(E_F) 4.03 states/eV/f.u.. Number 2: E_form -0.26 eV per atom, total moment 0.424 μB per atom, N(E_F) 17.29 states/eV/f.u..